Entry i
A geometry-optimized Pr2Nd4Ho5 structure. Source: the Alexandria database, functional PBE.

abc: 5.875 6.413 10.293
angles: 94.57 106.58 90.00
Positions (direct):
Pr: 0.401 0.456 0.801
Pr: 0.599 0.544 0.199
Nd: 0.306 0.927 0.611
Nd: 0.965 0.734 0.930
Nd: 0.694 0.073 0.389
Nd: 0.035 0.266 0.070
Ho: 0.786 0.607 0.572
Ho: 0.214 0.393 0.428
Ho: 0.869 0.144 0.738
Ho: 0.500 0.000 0.000
Ho: 0.131 0.856 0.262

Properties
SG	C2/m, No. 12

***

Entry ii
A geometry-optimized Pr2Nd4Ho5 structure. Source: the Alexandria database, functional PBE.

abc: 3.537 9.266 12.630
angles: 111.52 98.05 90.00
Positions (direct):
Pr: 0.269 0.269 0.537
Pr: 0.731 0.731 0.463
Nd: 0.000 0.296 0.000
Nd: 0.596 0.596 0.192
Nd: 0.000 0.704 0.000
Nd: 0.404 0.404 0.808
Ho: 0.857 0.050 0.714
Ho: 0.857 0.664 0.714
Ho: 0.143 0.336 0.286
Ho: 0.143 0.950 0.286
Ho: 0.500 0.000 0.000

Properties
SG	Immm, No. 71

***

Most stable structure, least stable structure: entry i, entry ii.

***

Entry i
A geometry-optimized Pr3Nd5Ho3 structure. Source: the Alexandria database, functional PBE.

abc: 3.473 11.450 11.450
angles: 120.00 90.00 90.00
Positions (direct):
Pr: 0.000 0.598 0.000
Pr: 0.000 0.000 0.598
Pr: 0.000 0.402 0.402
Nd: 0.500 0.667 0.333
Nd: 0.500 0.333 0.667
Nd: 0.500 0.336 0.000
Nd: 0.500 0.664 0.664
Nd: 0.500 0.000 0.336
Ho: 0.500 0.842 0.000
Ho: 0.500 0.158 0.158
Ho: 0.500 0.000 0.842

Properties
SG	P-62m, No. 189

***

Entry ii
A geometry-optimized Pr3Nd5Ho3 structure. Source: the Alexandria database, functional PBE.

abc: 5.617 9.801 9.801
angles: 120.00 90.00 90.00
Positions (direct):
Pr: 0.000 0.422 0.422
Pr: 0.000 0.578 0.000
Pr: 0.000 0.000 0.578
Nd: 0.500 0.333 0.667
Nd: 0.500 0.667 0.333
Nd: 0.500 0.269 0.269
Nd: 0.500 0.000 0.731
Nd: 0.500 0.731 0.000
Ho: 0.500 0.632 0.632
Ho: 0.500 0.000 0.368
Ho: 0.500 0.368 0.000

Properties
SG	P-62m, No. 189

***

Most stable structure, least stable structure: entry i, entry ii.

***

Entry i
A geometry-optimized Pr3Nd5Ho4 structure. Source: the Alexandria database, functional PBE.

abc: 7.263 11.503 13.121
angles: 151.27 56.31 129.24
Positions (direct):
Pr: 0.589 0.170 0.334
Pr: 0.000 0.000 0.500
Pr: 0.411 0.830 0.666
Nd: 0.335 0.668 0.833
Nd: 0.500 0.000 0.500
Nd: 0.748 0.502 0.002
Nd: 0.252 0.498 0.998
Nd: 0.665 0.332 0.167
Ho: 0.918 0.833 0.668
Ho: 0.836 0.670 0.834
Ho: 0.164 0.330 0.166
Ho: 0.082 0.167 0.332

Properties
SG	P-1, No. 2

***

Entry ii
A geometry-optimized Pr3Nd5Ho4 structure. Source: the Alexandria database, functional PBE.

abc: 6.049 8.704 9.824
angles: 106.16 72.07 69.66
Positions (direct):
Pr: 0.519 0.689 0.273
Pr: 0.000 0.500 0.500
Pr: 0.481 0.311 0.727
Nd: 0.623 0.953 0.801
Nd: 0.500 0.500 0.500
Nd: 0.213 0.461 0.114
Nd: 0.787 0.539 0.886
Nd: 0.377 0.047 0.199
Ho: 0.860 0.221 0.058
Ho: 0.165 0.047 0.624
Ho: 0.835 0.953 0.376
Ho: 0.140 0.779 0.942

Properties
SG	C2/m, No. 12

***

Most stable structure, least stable structure: entry i, entry ii.

***

Entry i
A geometry-optimized PrNd6Ho2 structure. Source: the Alexandria database, functional PBE.

abc: 3.560 8.946 10.310
angles: 77.92 80.06 78.52
Positions (direct):
Pr: 0.000 0.000 0.000
Nd: 0.772 0.344 0.112
Nd: 0.228 0.656 0.888
Nd: 0.385 0.675 0.556
Nd: 0.048 0.655 0.249
Nd: 0.952 0.345 0.751
Nd: 0.615 0.325 0.444
Ho: 0.329 0.016 0.326
Ho: 0.671 0.984 0.674

Properties
SG	C2/m, No. 12

***

Entry ii
A geometry-optimized PrNd6Ho2 structure. Source: the Alexandria database, functional PBE.

abc: 3.657 8.942 13.110
angles: 132.58 81.92 90.09
Positions (direct):
Pr: 0.000 0.000 0.000
Nd: 0.891 0.554 0.218
Nd: 0.109 0.446 0.782
Nd: 0.667 0.666 0.667
Nd: 0.779 0.106 0.441
Nd: 0.221 0.894 0.559
Nd: 0.333 0.334 0.333
Ho: 0.445 0.776 0.110
Ho: 0.555 0.224 0.890

Properties
SG	P-1, No. 2

***

Most stable structure, least stable structure: entry ii, entry i.

***

Entry i
A geometry-optimized Pr12Nd2Ho5 structure. Source: the Alexandria database, functional PBE.

abc: 11.832 10.859 6.290
angles: 100.45 90.00 123.01
Positions (direct):
Pr: 0.122 0.244 0.999
Pr: 0.062 0.604 0.800
Pr: 0.542 0.604 0.800
Pr: 0.145 0.792 0.385
Pr: 0.647 0.792 0.385
Pr: 0.443 0.885 0.726
Pr: 0.557 0.115 0.274
Pr: 0.855 0.208 0.615
Pr: 0.353 0.208 0.615
Pr: 0.938 0.396 0.200
Pr: 0.458 0.396 0.200
Pr: 0.878 0.756 0.001
Nd: 0.772 0.000 0.000
Nd: 0.228 0.000 0.000
Ho: 0.214 0.429 0.550
Ho: 0.321 0.643 0.142
Ho: 0.000 0.000 0.500
Ho: 0.679 0.357 0.858
Ho: 0.786 0.571 0.450

Properties
SG	C2/m, No. 12

***

Entry ii
A geometry-optimized Pr12Nd2Ho5 structure. Source: the Alexandria database, functional PBE.

abc: 11.810 8.846 9.535
angles: 70.77 90.00 131.87
Positions (direct):
Pr: 0.115 0.231 0.060
Pr: 0.048 0.609 0.801
Pr: 0.561 0.609 0.801
Pr: 0.172 0.784 0.417
Pr: 0.612 0.784 0.417
Pr: 0.422 0.843 0.785
Pr: 0.578 0.157 0.215
Pr: 0.828 0.216 0.583
Pr: 0.388 0.216 0.583
Pr: 0.952 0.391 0.199
Pr: 0.439 0.391 0.199
Pr: 0.885 0.769 0.940
Nd: 0.726 0.000 0.000
Nd: 0.274 0.000 0.000
Ho: 0.196 0.392 0.661
Ho: 0.311 0.621 0.233
Ho: 0.000 0.000 0.500
Ho: 0.689 0.379 0.767
Ho: 0.804 0.608 0.339

Properties
SG	C2/m, No. 12

***

Most stable structure, least stable structure: entry i, entry ii.

***

Entry i
A geometry-optimized Pr3Nd4Ho5 structure. Source: the Alexandria database, functional PBE.

abc: 7.240 11.458 13.067
angles: 151.29 56.40 129.20
Positions (direct):
Pr: 0.581 0.163 0.331
Pr: 0.000 0.000 0.500
Pr: 0.419 0.837 0.669
Nd: 0.917 0.837 0.669
Nd: 0.830 0.661 0.831
Nd: 0.170 0.339 0.169
Nd: 0.083 0.163 0.331
Ho: 0.330 0.665 0.835
Ho: 0.500 0.000 0.500
Ho: 0.751 0.501 0.001
Ho: 0.249 0.499 0.999
Ho: 0.670 0.335 0.165

Properties
SG	P-1, No. 2

***

Entry ii
A geometry-optimized Pr3Nd4Ho5 structure. Source: the Alexandria database, functional PBE.

abc: 6.025 8.645 9.805
angles: 105.59 72.11 69.61
Positions (direct):
Pr: 0.524 0.687 0.266
Pr: 0.000 0.500 0.500
Pr: 0.476 0.313 0.734
Nd: 0.862 0.223 0.054
Nd: 0.173 0.036 0.618
Nd: 0.827 0.964 0.382
Nd: 0.138 0.777 0.946
Ho: 0.626 0.945 0.803
Ho: 0.500 0.500 0.500
Ho: 0.214 0.457 0.114
Ho: 0.786 0.543 0.886
Ho: 0.374 0.055 0.197

Properties
SG	C2/m, No. 12

***

Most stable structure, least stable structure: entry i, entry ii.

***

Entry i
A geometry-optimized PrNd3Ho4 structure. Source: the Alexandria database, functional PBE.

abc: 3.463 8.996 8.996
angles: 81.29 78.90 78.90
Positions (direct):
Pr: 0.500 0.000 0.000
Nd: 0.758 0.242 0.242
Nd: 0.242 0.758 0.758
Nd: 0.000 0.500 0.500
Ho: 0.635 0.115 0.615
Ho: 0.365 0.885 0.385
Ho: 0.365 0.385 0.885
Ho: 0.635 0.615 0.115

Properties
SG	Immm, No. 71

***

Entry ii
A geometry-optimized PrNd3Ho4 structure. Source: the Alexandria database, functional PBE.

abc: 6.310 7.332 11.593
angles: 90.00 90.00 90.00
Positions (direct):
Pr: 0.146 0.372 0.000
Pr: 0.646 0.628 0.500
Nd: 0.646 0.628 0.000
Nd: 0.983 0.629 0.250
Nd: 0.483 0.371 0.250
Nd: 0.146 0.372 0.500
Nd: 0.483 0.371 0.750
Nd: 0.983 0.629 0.750
Ho: 0.148 0.880 0.000
Ho: 0.648 0.121 0.000
Ho: 0.981 0.121 0.250
Ho: 0.481 0.879 0.250
Ho: 0.148 0.879 0.500
Ho: 0.648 0.120 0.500
Ho: 0.481 0.879 0.750
Ho: 0.981 0.121 0.750

Properties
SG	Pmn2_1, No. 31

***

Most stable structure, least stable structure: entry ii, entry i.

***

Entry i
A geometry-optimized Pr4NdHo structure. Source: the Alexandria database, functional PBE.

abc: 6.749 6.749 6.749
angles: 60.00 60.00 60.00
Positions (direct):
Pr: 0.626 0.626 0.123
Pr: 0.626 0.123 0.626
Pr: 0.626 0.626 0.626
Pr: 0.123 0.626 0.626
Nd: 0.250 0.250 0.250
Ho: 0.000 0.000 0.000

Properties
SG	F-43m, No. 216

***

Entry ii
A geometry-optimized Pr4NdHo structure. Source: the Alexandria database, functional PBE.

abc: 8.233 8.233 5.196
angles: 89.99 89.99 36.94
Positions (direct):
Pr: 0.334 0.334 0.000
Pr: 0.666 0.666 0.000
Pr: 0.835 0.835 0.500
Pr: 0.165 0.165 0.500
Nd: 0.500 0.500 0.500
Ho: 0.000 0.000 0.000

Properties
SG	Cmmm, No. 65

***

Most stable structure, least stable structure: entry ii, entry i.